[1]
Below is a PBEsol-optimized structure of HgAsPt2, with properties calculated at the meta-GGA SCAN level.

Summary:
V   69 Å³/f.u.
Spin magnetization   0.00 μB/atom
Energy of formation from the pure elements   0.035 eV/atom

a b c (Å): 2.983 4.760 4.872
angles (deg): 90.00 92.60 90.00
Sites, in units of the cell vectors:
Hg  0.000  0.000  0.000
As  0.492  0.500  0.717
Pt  0.488  0.000  0.501
Pt  0.956  0.500  0.306

***

[2]
Below is a PBEsol-optimized structure of Hg3AsPt, with properties calculated at the meta-GGA SCAN level.

Summary:
V   133 Å³/f.u.
Spin magnetization   0.00 μB/atom
Energy of formation from the pure elements   0.513 eV/atom

a b c (Å): 5.108 5.108 5.108
angles (deg): 90.00 90.00 90.00
Sites, in units of the cell vectors:
Hg  0.000  0.000  0.500
Hg  0.000  0.500  0.000
Hg  0.500  0.000  0.000
As  0.500  0.500  0.500
Pt  0.000  0.000  0.000

***

[3]
Below is a PBEsol-optimized structure of Hg2AsPt, with properties calculated at the meta-GGA SCAN level.

Summary:
V   76 Å³/f.u.
Spin magnetization   0.00 μB/atom
Energy of formation from the pure elements   0.274 eV/atom

a b c (Å): 5.859 5.859 5.859
angles (deg): 151.13 127.55 60.98
Sites, in units of the cell vectors:
Hg  0.236  0.236  0.000
Hg  0.764  0.764  0.000
As  0.500  0.000  0.500
Pt  0.000  0.500  0.500

***

[4]
Below is a PBEsol-optimized structure of RbHgAs3, with properties calculated at the meta-GGA SCAN level.

Summary:
V   170 Å³/f.u.
Spin magnetization   0.00 μB/atom
Energy of formation from the pure elements   1.799 eV/atom

a b c (Å): 5.545 5.545 5.545
angles (deg): 90.00 90.00 90.00
Sites, in units of the cell vectors:
Rb  0.000  0.000  0.000
Hg  0.500  0.500  0.500
As  0.000  0.000  0.500
As  0.000  0.500  0.000
As  0.500  0.000  0.000

***

[5]
Below is a PBEsol-optimized structure of RbHgAs2Ru, with properties calculated at the meta-GGA SCAN level.

Summary:
V   163 Å³/f.u.
Spin magnetization   0.71 μB/atom
Energy of formation from the pure elements   2.173 eV/atom

a b c (Å): 5.397 5.397 5.597
angles (deg): 90.00 90.00 90.00
Sites, in units of the cell vectors:
Rb  0.000  0.000  0.000
Hg  0.000  0.000  0.500
As  0.000  0.500  0.000
As  0.500  0.000  0.000
Ru  0.500  0.500  0.500

***

[6]
Below is a PBEsol-optimized structure of RbHgAs2Se, with properties calculated at the meta-GGA SCAN level.

Summary:
V   149 Å³/f.u.
Spin magnetization   0.33 μB/atom
E_form (uncorrected)   0.287 eV/atom

a b c (Å): 5.214 5.214 5.480
angles (deg): 90.00 90.00 90.00
Sites, in units of the cell vectors:
Rb  0.000  0.000  0.000
Hg  0.500  0.500  0.500
As  0.000  0.500  0.500
As  0.500  0.000  0.500
Se  0.500  0.500  0.000

***

[7]
Below is a PBEsol-optimized structure of HgAs2Rh, with properties calculated at the meta-GGA SCAN level.

Summary:
V   73 Å³/f.u.
Spin magnetization   0.00 μB/atom
Energy of formation from the pure elements   0.050 eV/atom

a b c (Å): 8.684 8.684 8.684
angles (deg): 20.90 20.90 20.90
Sites, in units of the cell vectors:
Hg  0.000  0.000  0.000
As  0.235  0.235  0.235
As  0.480  0.480  0.480
Rh  0.752  0.752  0.752

***

[8]
Below is a PBEsol-optimized structure of Hg2AsRh, with properties calculated at the meta-GGA SCAN level.

Summary:
V   72 Å³/f.u.
Spin magnetization   0.00 μB/atom
Energy of formation from the pure elements   0.326 eV/atom

a b c (Å): 4.997 4.997 3.132
angles (deg): 90.00 90.00 112.81
Sites, in units of the cell vectors:
Hg  0.000  0.500  0.000
Hg  0.500  0.000  0.000
As  0.000  0.000  0.500
Rh  0.500  0.500  0.500

***

[9]
Below is a PBEsol-optimized structure of HgAsRh3, with properties calculated at the meta-GGA SCAN level.

Summary:
V   90 Å³/f.u.
Spin magnetization   0.00 μB/atom
Energy of formation from the pure elements   0.270 eV/atom

a b c (Å): 4.481 4.481 4.481
angles (deg): 90.00 90.00 90.00
Sites, in units of the cell vectors:
Hg  0.000  0.000  0.000
As  0.500  0.500  0.500
Rh  0.000  0.500  0.500
Rh  0.500  0.000  0.500
Rh  0.500  0.500  0.000

***

[10]
Below is a PBEsol-optimized structure of HgAs2Rh, with properties calculated at the meta-GGA SCAN level.

Summary:
V   69 Å³/f.u.
Spin magnetization   0.00 μB/atom
Energy of formation from the pure elements   0.310 eV/atom

a b c (Å): 4.139 4.139 4.029
angles (deg): 90.00 90.00 90.00
Sites, in units of the cell vectors:
Hg  0.000  0.000  0.000
As  0.000  0.500  0.500
As  0.500  0.000  0.500
Rh  0.500  0.500  0.000